Entry from Alexandria: a relaxed LiAgB3 crystal (PBE-GGA).

excess energy over the best structure of this formula in the dataset = 7.6 kJ per mole of atoms
ΔH_f (0 K) = 1.954 eV/atom
E = -3.006 eV/atom
crystal system = cubic

abc: 3.8273 3.8273 3.8273
angles: 90.00 90.00 90.00
Closest atoms and distances in Å follow each position.
Sites, in units of the cell vectors:
Li 0.0000 0.0000 0.0000  6 B 1.91
Ag 0.5000 0.5000 0.5000  12 B 2.71
B 0.0000 0.0000 0.5000  2 Li 1.91
B 0.0000 0.5000 0.0000  2 Li 1.91
B 0.5000 0.0000 0.0000  2 Li 1.91

***

Entry from Alexandria: a relaxed Li2Ir2F crystal (PBE-GGA).

formation energy from raw total energies = -716 meV/atom
excess energy over the best structure of this formula in the dataset = 0.0 kJ per mole of atoms
E = -5.401 eV/atom
crystal system = tetragonal

abc: 5.0035 5.0035 5.4573
angles: 90.00 90.00 90.00
Closest atoms and distances in Å follow each position.
Sites, in units of the cell vectors:
Li 0.1911 0.3088 0.0000  2 F 1.82
Li 0.3088 0.8088 0.0000  2 F 1.82
Li 0.6912 0.1911 0.0000  2 F 1.82
Li 0.8088 0.6912 0.0000  2 F 1.82
Ir 0.1804 0.6804 0.5000  5 Ir 2.55-2.60
Ir 0.3196 0.1804 0.5000  5 Ir 2.55-2.60
Ir 0.6804 0.8196 0.5000  5 Ir 2.55-2.60
Ir 0.8196 0.3196 0.5000  5 Ir 2.55-2.60
F 0.0000 0.0000 0.0000  4 Li 1.82
F 0.5000 0.5000 0.0000  4 Li 1.82

***

Entry from Alexandria: a relaxed Ni5Ru crystal (PBE-GGA).

excess energy over the best structure of this formula in the dataset = 1.2 kJ per mole of atoms
ΔH_f (0 K) = 0.088 eV/atom
E = -6.276 eV/atom
crystal system = orthorhombic

abc: 4.1266 6.7004 6.7004
angles: 21.91 90.00 90.00
Closest atoms and distances in Å follow each position.
Sites, in units of the cell vectors:
Ni 0.0000 0.0000 0.0000  8 Ni 2.51-2.60, 4 Ru 2.55
Ni 0.0000 0.3274 0.3274  10 Ni 2.50-2.60, 2 Ru 2.54
Ni 0.0000 0.6641 0.6641  12 Ni 2.50-2.55
Ni 0.5000 0.1097 0.1097  10 Ni 2.48-2.55, 2 Ru 2.56
Ni 0.5000 0.7718 0.7718  10 Ni 2.48-2.55, 2 Ru 2.56
Ru 0.5000 0.4405 0.4405  10 Ni 2.54-2.56, 2 Ru 2.55

***

Entry from Alexandria: a relaxed BaBeZn3 crystal (PBE-GGA).

excess energy over the best structure of this formula in the dataset = 125.6 kJ per mole of atoms
ΔH_f (0 K) = 1.341 eV/atom
E = -0.553 eV/atom
crystal system = cubic

abc: 6.3977 6.3977 6.3977
angles: 90.00 90.00 90.00
Closest atoms and distances in Å follow each position.
Sites, in units of the cell vectors:
Ba 0.0000 0.0000 0.0000  6 Zn 3.20
Be 0.5000 0.5000 0.5000  12 Zn 4.52
Zn 0.0000 0.0000 0.5000  2 Ba 3.20
Zn 0.0000 0.5000 0.0000  2 Ba 3.20
Zn 0.5000 0.0000 0.0000  2 Ba 3.20

***

Entry from Alexandria: a relaxed NbSb2N crystal (PBE-GGA).

formation energy from raw total energies = 666 meV/atom
E = -5.994 eV/atom
crystal system = tetragonal

abc: 6.0083 6.0083 6.0083
angles: 116.08 116.08 96.94
Closest atoms and distances in Å follow each position.
Sites, in units of the cell vectors:
Nb 0.0000 0.0000 0.0000  4 Sb 2.78
Nb 0.7500 0.2500 0.5000  4 Sb 2.78
Sb 0.1983 0.6250 0.0733  2 N 2.19
Sb 0.3750 0.4483 0.5733  2 N 2.19
Sb 0.5517 0.1250 0.9267  2 N 2.19
Sb 0.8750 0.8017 0.4267  2 N 2.19
N 0.2500 0.7500 0.5000  4 Sb 2.19
N 0.5000 0.5000 0.0000  4 Sb 2.19

***

Entry from Alexandria: a relaxed PmSi2Au6 crystal (PBE-GGA).

formation energy from raw total energies = -352 meV/atom
excess energy over the best structure of this formula in the dataset = 0.0 kJ per mole of atoms
E = -4.270 eV/atom
crystal system = tetragonal

abc: 4.3888 4.3888 8.7806
angles: 90.00 90.00 90.00
Closest atoms and distances in Å follow each position.
Sites, in units of the cell vectors:
Pm 0.0000 0.0000 0.0000  8 Au 3.24, 8 Si 3.32
Si 0.5000 0.5000 0.1337  1 Si 2.35, 4 Au 2.51
Si 0.5000 0.5000 0.8663  1 Si 2.35, 4 Au 2.51
Au 0.0000 0.0000 0.5000  12 Au 2.97-3.10
Au 0.0000 0.5000 0.2721  2 Si 2.51
Au 0.0000 0.5000 0.7279  2 Si 2.51
Au 0.5000 0.0000 0.2721  2 Si 2.51
Au 0.5000 0.0000 0.7279  2 Si 2.51
Au 0.5000 0.5000 0.5000  12 Au 2.97-3.10, 2 Si 3.22